The following is a DFT calculation (PBE) of a relaxed structure of AsPd3Pb.

The structure in POSCAR format:
```
AsPd3Pb
1.0
5.2936 0.0001 -2.4647
-1.3786 6.1187 -2.9611
-0.0955 -0.7043 6.7125
As Pd Pb
2 6 2
Direct
0.9999 0.0001 0.9998
0.4999 0.4997 0.9998
0.8502 0.3502 0.2005
0.6499 0.6498 0.7997
0.1499 0.6498 0.7996
0.3502 0.3502 0.2005
0.7499 0.7861 0.4998
0.2499 0.2136 0.4998
0.7502 0.1968 0.5004
0.2502 0.8036 0.5004
```

Results
- energy relative to the elements (eV/atom) = -0.26
- energy above the most stable polymorph in this dataset (eV/atom) = 0.047

***

The following is a DFT calculation (PBE) of a relaxed structure of As2Pd3Pb.

The structure in POSCAR format:
```
As2Pd3Pb
1.0
-2.9338 1.1010 2.6081
2.7131 -7.8902 3.1963
6.0670 7.4203 3.6921
As Pd Pb
6 9 3
Direct
0.1974 0.3949 0.1266
0.8026 0.6051 0.8734
0.4585 0.9170 0.2284
0.5415 0.0830 0.7716
0.3654 0.7308 0.5598
0.6346 0.2692 0.4402
0.0491 0.0982 0.3124
0.9509 0.9018 0.6876
0.2256 0.4512 0.3851
0.7744 0.5488 0.6149
0.6226 0.2452 0.1843
0.3774 0.7548 0.8157
0.5000 0.0000 0.5000
0.3170 0.6340 0.0414
0.6830 0.3660 0.9586
0.1516 0.3031 0.6909
0.8484 0.6969 0.3091
0.0000 0.0000 0.0000
```

Results
- energy relative to the elements (eV/atom) = -0.31
- energy above the most stable polymorph in this dataset (eV/atom) = 0.000

***

The following is a DFT calculation (PBE) of a relaxed structure of AsPd3Pb.

The structure in POSCAR format:
```
AsPd3Pb
1.0
5.0217 0.0000 0.0000
0.0000 5.0217 0.0000
0.0000 0.0000 5.0217
Pb As Pd
1 1 3
Direct
0.0000 0.0000 0.0000
0.5000 0.5000 0.5000
0.0000 0.5000 0.0000
0.0000 0.0000 0.5000
0.5000 0.0000 0.0000
```

Results
- energy relative to the elements (eV/atom) = 0.85
- energy above the most stable polymorph in this dataset (eV/atom) = 1.152

***

The following is a DFT calculation (PBE) of a relaxed structure of AsPd2Pb.

The structure in POSCAR format:
```
AsPd2Pb
1.0
-3.2423 0.2520 -1.1287
0.6432 -3.7655 -2.6882
-1.4315 -2.7429 3.4996
Pb As Pd
1 1 2
Direct
0.5000 0.0000 0.0000
0.5000 0.5000 0.5000
0.0000 0.0000 0.5000
0.0000 0.5000 0.0000
```

Results
- energy relative to the elements (eV/atom) = -0.12

***

The following is a DFT calculation (PBE) of a relaxed structure of As2Pd12Pb5.

The structure in POSCAR format:
```
As2Pd12Pb5
1.0
7.1036 0.0000 0.0000
-3.5518 7.6301 1.0258
0.0000 -1.9018 6.4817
As Pd Pb
2 12 5
Direct
0.7034 0.0000 0.0000
0.2966 0.0000 0.0000
0.0722 0.1444 0.1515
0.1400 0.6768 0.9886
0.5368 0.6768 0.9886
0.1760 0.7535 0.5768
0.5775 0.7535 0.5768
0.5370 0.0740 0.7120
0.4630 0.9260 0.2880
0.8240 0.2465 0.4232
0.4225 0.2465 0.4232
0.8600 0.3232 0.0114
0.4632 0.3232 0.0114
0.9278 0.8556 0.8485
0.2001 0.4003 0.7391
0.2575 0.5151 0.2842
0.0000 0.0000 0.5000
0.7425 0.4849 0.7158
0.7999 0.5997 0.2609
```

Results
- energy relative to the elements (eV/atom) = -0.20

***

The following is a DFT calculation (PBE) of a relaxed structure of AsPd8Pb2.

The structure in POSCAR format:
```
AsPd8Pb2
1.0
4.6517 0.0000 0.0000
0.0000 5.8526 -0.1821
-2.3259 -2.7141 7.1255
As Pd Pb
1 8 2
Direct
0.5000 0.0000 0.0000
0.3664 0.6092 0.7328
0.6344 0.8793 0.2688
0.8127 0.8114 0.6253
0.9997 0.2384 0.9994
0.1873 0.1886 0.3747
0.3656 0.1207 0.7312
0.6336 0.3908 0.2672
0.0003 0.7616 0.0006
0.8196 0.3192 0.6393
0.1804 0.6808 0.3607
```

Results
- energy relative to the elements (eV/atom) = -0.26

***

The following is a DFT calculation (PBE) of a relaxed structure of AsPd2Pb.

The structure in POSCAR format:
```
AsPd2Pb
1.0
4.2785 0.0000 0.0000
2.1392 3.7053 0.0000
2.1392 1.2351 5.2084
Pb As Pd
1 1 2
Direct
0.5000 0.5000 0.5000
0.0000 0.0000 0.0000
0.2888 0.2888 0.1335
0.7112 0.7112 0.8665
```

Results
- energy relative to the elements (eV/atom) = -0.24

***

The following is a DFT calculation (PBE) of a relaxed structure of AsPdPb2.

The structure in POSCAR format:
```
AsPdPb2
1.0
4.5138 0.2238 0.1164
2.4407 3.8036 0.1164
2.3003 1.3321 6.3728
As Pd Pb
1 1 2
Direct
0.7943 0.7943 0.6051
0.4644 0.4644 0.6534
0.0439 0.0439 0.9198
0.1974 0.1974 0.3217
```

Results
- energy relative to the elements (eV/atom) = -0.12